Entry from Alexandria: a relaxed CsRbAu4O6 crystal (PBE).

a b c (Å): 6.8009 6.8009 8.2704
angles (deg): 90.00 90.00 120.00
With the nearest neighbours (Å) after each atom.
Element x y z (fractional)
Cs (0.0000, 0.0000, 0.5000)  12 O 4.03, 2 Rb 4.14
Rb (0.0000, 0.0000, 0.0000)  12 O 3.93, 2 Cs 4.14, 12 Au 4.22
Au (0.6667, 0.3333, 0.1873)  3 O 2.01
Au (0.3333, 0.6667, 0.1873)  3 O 2.01
Au (0.3333, 0.6667, 0.8127)  3 O 2.01
Au (0.6667, 0.3333, 0.8127)  3 O 2.01
O (0.5000, 0.5000, 0.2374)  2 Au 2.01
O (0.5000, 0.5000, 0.7626)  2 Au 2.01
O (0.5000, 0.0000, 0.2374)  2 Au 2.01
O (0.0000, 0.5000, 0.2374)  2 Au 2.01
O (0.5000, 0.0000, 0.7626)  2 Au 2.01
O (0.0000, 0.5000, 0.7626)  2 Au 2.01

Calculated values
Raw formation energy: 0.02 eV per atom
Space group: No. 191
Total energy: -3.701 eV/atom

=====

Entry from Alexandria: a relaxed Cs6Rb2Au3O crystal (PBE).

a b c (Å): 8.2663 9.4913 10.0150
angles (deg): 118.28 90.76 90.00
With the nearest neighbours (Å) after each atom.
Element x y z (fractional)
Cs (0.7064, 0.2956, 0.1396)  1 O 2.99
Cs (0.2936, 0.7044, 0.8604)  1 O 2.99
Cs (0.7017, 0.8658, 0.7316)  1 O 2.92
Cs (0.2983, 0.1342, 0.2684)  1 O 2.92
Cs (0.2936, 0.1560, 0.8604)  1 O 2.99
Cs (0.7064, 0.8440, 0.1396)  1 O 2.99
Rb (0.2094, 0.6798, 0.3596)  3 Au 3.58-3.59
Rb (0.7906, 0.3202, 0.6404)  3 Au 3.58-3.59
Au (0.0000, 0.5000, 0.0000)  2 Rb 3.59, 4 Cs 3.78
Au (0.5000, 0.5000, 0.5000)  4 Cs 3.53-3.64, 2 Rb 3.58
Au (0.5000, 0.0000, 0.5000)  4 Cs 3.53-3.64, 2 Rb 3.58
O (0.5000, 0.0000, 0.0000)  6 Cs 2.92-2.99

Calculated values
Raw formation energy: -0.39 eV per atom
Space group: No. 12
Total energy: -2.214 eV/atom

=====

Entry from Alexandria: a relaxed Cs6RbAuO crystal (PBE).

a b c (Å): 9.0801 9.0803 9.4882
angles (deg): 90.00 90.00 59.99
With the nearest neighbours (Å) after each atom.
Element x y z (fractional)
Cs (0.0527, 0.3681, 0.3162)  1 O 2.97
Cs (0.3681, 0.0527, 0.6837)  1 O 2.97
Cs (0.5791, 0.3681, 0.6837)  1 O 2.97
Cs (0.0526, 0.5792, 0.6837)  1 O 2.97
Cs (0.3681, 0.5792, 0.3162)  1 O 2.97
Cs (0.5792, 0.0527, 0.3163)  1 O 2.97
Rb (0.0000, 0.0000, 0.0000)  6 Cs 4.69
Au (0.6666, 0.6667, 0.5000)  6 Cs 3.63
O (0.3333, 0.3333, 0.5000)  6 Cs 2.97

Calculated values
Raw formation energy: -0.39 eV per atom
Space group: No. 149
Total energy: -1.982 eV/atom

=====

Entry from Alexandria: a relaxed CsRb6Au2O crystal (PBE).

a b c (Å): 8.4112 8.4224 9.8468
angles (deg): 64.48 64.43 59.62
With the nearest neighbours (Å) after each atom.
Element x y z (fractional)
Cs (0.8343, 0.8347, 0.5049)  1 Au 3.53
Rb (0.4790, 0.3782, 0.1799)  1 O 2.78
Rb (0.3792, 0.9619, 0.1809)  1 O 2.78
Rb (0.9614, 0.4806, 0.1821)  1 O 2.78
Rb (0.2786, 0.7044, 0.8012)  1 O 2.79
Rb (0.7050, 0.2150, 0.8017)  1 O 2.79
Rb (0.2135, 0.2781, 0.8042)  1 O 2.79
Au (0.5068, 0.5071, 0.4701)  6 Rb 3.59-3.62
Au (0.9699, 0.9677, 0.0923)  1 Cs 3.53, 6 Rb 3.62-3.87
O (0.3339, 0.3340, 0.9979)  6 Rb 2.78-2.79

Calculated values
Raw formation energy: -0.40 eV per atom
Space group: No. 1
Total energy: -2.221 eV/atom

=====

Entry from Alexandria: a relaxed Cs5Rb2AuO crystal (PBE).

a b c (Å): 5.1590 10.1818 26.3620
angles (deg): 90.00 90.00 104.68
With the nearest neighbours (Å) after each atom.
Element x y z (fractional)
Cs (0.3290, 0.6581, 0.9658)  1 O 2.77
Cs (0.6100, 0.2200, 0.9421)  1 O 2.81
Cs (0.4541, 0.9083, 0.8431)  1 O 2.70
Cs (0.3207, 0.6415, 0.6250)  2 Au 3.60
Cs (0.0209, 0.0417, 0.5011)  2 O 2.98
Cs (0.6710, 0.3419, 0.4658)  1 O 2.77
Cs (0.3900, 0.7800, 0.4421)  1 O 2.81
Cs (0.5459, 0.0917, 0.3431)  1 O 2.70
Cs (0.6793, 0.3585, 0.1250)  2 Au 3.60
Cs (0.9791, 0.9583, 0.0011)  2 O 2.98
Rb (0.7356, 0.4711, 0.7840)  5 Cs 4.85-5.26, 4 Rb 5.07-5.16
Rb (0.0566, 0.1133, 0.6866)  4 Cs 4.94-5.45, 4 Rb 5.07-5.16
Rb (0.2644, 0.5289, 0.2840)  5 Cs 4.85-5.26, 4 Rb 5.07-5.16
Rb (0.9434, 0.8867, 0.1866)  4 Cs 4.94-5.45, 4 Rb 5.07-5.16
Au (0.8396, 0.6791, 0.5309)  6 Cs 3.60-3.74
Au (0.1604, 0.3209, 0.0309)  6 Cs 3.60-3.74
O (0.4672, 0.9344, 0.9452)  5 Cs 2.70-2.98
O (0.5328, 0.0656, 0.4452)  5 Cs 2.70-2.98

Calculated values
Raw formation energy: -0.39 eV per atom
Space group: No. 36
Total energy: -1.993 eV/atom

=====

Entry from Alexandria: a relaxed Cs4Rb2AuO crystal (PBE).

a b c (Å): 8.5883 11.0078 8.4491
angles (deg): 123.37 119.95 82.88
With the nearest neighbours (Å) after each atom.
Element x y z (fractional)
Cs (0.7211, 0.6851, 0.7328)  1 O 2.67
Cs (0.9248, 0.5438, 0.2795)  1 O 2.68
Cs (0.3848, 0.6818, 0.1366)  1 O 2.67
Cs (0.8822, 0.0109, 0.6921)  1 O 2.71
Rb (0.5668, 0.1764, 0.2045)  1 Au 3.51
Rb (0.2292, 0.1900, 0.5349)  1 Au 3.50
Au (0.9504, 0.3792, 0.7468)  2 Rb 3.50-3.51, 3 Cs 3.71-3.91
O (0.7277, 0.7199, 0.4468)  4 Cs 2.67-2.71

Calculated values
Raw formation energy: -0.44 eV per atom
Space group: No. 1
Total energy: -2.142 eV/atom

=====

Entry from Alexandria: a relaxed Cs2Rb6Au3O crystal (PBE).

a b c (Å): 7.8811 9.2916 9.9443
angles (deg): 117.85 89.16 90.00
With the nearest neighbours (Å) after each atom.
Element x y z (fractional)
Cs (0.1814, 0.6854, 0.3708)  3 Au 3.58-3.62
Cs (0.8186, 0.3146, 0.6292)  3 Au 3.58-3.62
Rb (0.7070, 0.2835, 0.1302)  1 O 2.85
Rb (0.2930, 0.7165, 0.8698)  1 O 2.85
Rb (0.6966, 0.8682, 0.7364)  1 O 2.77
Rb (0.3034, 0.1318, 0.2636)  1 O 2.77
Rb (0.2930, 0.1533, 0.8698)  1 O 2.85
Rb (0.7070, 0.8467, 0.1302)  1 O 2.85
Au (0.0000, 0.5000, 0.0000)  2 Cs 3.58, 4 Rb 3.66
Au (0.5000, 0.5000, 0.5000)  4 Rb 3.50-3.63, 2 Cs 3.62
Au (0.5000, 0.0000, 0.5000)  4 Rb 3.50-3.63, 2 Cs 3.62
O (0.5000, 0.0000, 0.0000)  6 Rb 2.77-2.85

Calculated values
Raw formation energy: -0.38 eV per atom
Space group: No. 12
Total energy: -2.237 eV/atom

=====

Entry from Alexandria: a relaxed Cs6RbAu2O crystal (PBE).

a b c (Å): 8.7040 10.1224 12.8466
angles (deg): 90.00 82.98 90.00
With the nearest neighbours (Å) after each atom.
Element x y z (fractional)
Cs (0.2590, 0.6106, 0.1061)  1 O 2.99
Cs (0.7590, 0.8894, 0.6061)  1 O 2.99
Cs (0.7410, 0.3894, 0.8939)  1 O 2.99
Cs (0.2410, 0.1106, 0.3939)  1 O 2.99
Cs (0.4289, 0.7443, 0.4243)  1 O 2.86
Cs (0.9289, 0.7557, 0.9243)  1 O 2.86
Cs (0.5711, 0.2557, 0.5757)  1 O 2.86
Cs (0.0711, 0.2443, 0.0757)  1 O 2.86
Cs (0.7873, 0.5503, 0.1881)  1 O 2.90
Cs (0.2873, 0.9497, 0.6881)  1 O 2.90
Cs (0.2127, 0.4497, 0.8119)  1 O 2.90
Cs (0.7127, 0.0503, 0.3119)  1 O 2.90
Rb (0.5000, 0.0000, 0.0000)  2 Au 3.63
Rb (0.0000, 0.5000, 0.5000)  2 Au 3.63
Au (0.0234, 0.7998, 0.3437)  1 Rb 3.63, 6 Cs 3.77-3.96
Au (0.5234, 0.7002, 0.8437)  1 Rb 3.63, 6 Cs 3.77-3.96
Au (0.9766, 0.2002, 0.6563)  1 Rb 3.63, 6 Cs 3.77-3.96
Au (0.4766, 0.2998, 0.1563)  1 Rb 3.63, 6 Cs 3.77-3.96
O (0.5000, 0.0000, 0.5000)  6 Cs 2.86-2.99
O (0.0000, 0.5000, 0.0000)  6 Cs 2.86-2.99

Calculated values
Raw formation energy: -0.42 eV per atom
Space group: No. 14
Total energy: -2.182 eV/atom

=====

Entry from Alexandria: a relaxed Cs4RbAu2O crystal (PBE).

a b c (Å): 4.5678 7.8877 11.3035
angles (deg): 82.04 78.34 73.17
With the nearest neighbours (Å) after each atom.
Element x y z (fractional)
Cs (0.1522, 0.9410, 0.7546)  1 O 2.79
Cs (0.3915, 0.2622, 0.9548)  2 O 3.04
Cs (0.8478, 0.0590, 0.2454)  1 O 2.79
Cs (0.6085, 0.7378, 0.0452)  2 O 3.04
Rb (0.5000, 0.5000, 0.5000)  4 Au 3.56
Au (0.8554, 0.5478, 0.7414)  2 Rb 3.56, 5 Cs 3.76-3.82
Au (0.1446, 0.4522, 0.2586)  2 Rb 3.56, 5 Cs 3.76-3.82
O (0.0000, 0.0000, 0.0000)  6 Cs 2.79-3.04

Calculated values
Raw formation energy: -0.53 eV per atom
Space group: No. 12
Total energy: -2.512 eV/atom

=====

Entry from Alexandria: a relaxed Cs5RbAu2O crystal (PBE).

a b c (Å): 8.4250 8.4250 8.4250
angles (deg): 90.67 119.62 119.62
With the nearest neighbours (Å) after each atom.
Element x y z (fractional)
Cs (0.4727, 0.2323, 0.2323)  1 O 2.83
Cs (0.5273, 0.7597, 0.7597)  1 O 2.83
Cs (0.0000, 0.7597, 0.2323)  1 O 2.83
Cs (0.0000, 0.2323, 0.7597)  1 O 2.83
Cs (0.0000, 0.2376, 0.2376)  1 O 2.77
Rb (0.0000, 0.7668, 0.7668)  1 O 2.80
Au (0.5000, 0.2542, 0.7542)  10 Cs 4.15-4.28, 2 Rb 4.24
Au (0.5000, 0.7542, 0.2542)  10 Cs 4.15-4.28, 2 Rb 4.24
O (0.0000, 0.0034, 0.0034)  5 Cs 2.77-2.83, 1 Rb 2.80

Calculated values
Raw formation energy: -0.45 eV per atom
Space group: No. 107
Total energy: -2.307 eV/atom

=====

- Which of these has the highest raw formation energy?
  CsRbAu4O6

=====

- Among the records above, which one has the highest total energy?
  Cs6RbAuO

=====

- Which of these has the highest raw formation energy?
  CsRbAu4O6

=====

Please write out number 5 again, unchanged.
Entry from Alexandria: a relaxed Cs5Rb2AuO crystal (PBE).

a b c (Å): 5.1590 10.1818 26.3620
angles (deg): 90.00 90.00 104.68
With the nearest neighbours (Å) after each atom.
Element x y z (fractional)
Cs (0.3290, 0.6581, 0.9658)  1 O 2.77
Cs (0.6100, 0.2200, 0.9421)  1 O 2.81
Cs (0.4541, 0.9083, 0.8431)  1 O 2.70
Cs (0.3207, 0.6415, 0.6250)  2 Au 3.60
Cs (0.0209, 0.0417, 0.5011)  2 O 2.98
Cs (0.6710, 0.3419, 0.4658)  1 O 2.77
Cs (0.3900, 0.7800, 0.4421)  1 O 2.81
Cs (0.5459, 0.0917, 0.3431)  1 O 2.70
Cs (0.6793, 0.3585, 0.1250)  2 Au 3.60
Cs (0.9791, 0.9583, 0.0011)  2 O 2.98
Rb (0.7356, 0.4711, 0.7840)  5 Cs 4.85-5.26, 4 Rb 5.07-5.16
Rb (0.0566, 0.1133, 0.6866)  4 Cs 4.94-5.45, 4 Rb 5.07-5.16
Rb (0.2644, 0.5289, 0.2840)  5 Cs 4.85-5.26, 4 Rb 5.07-5.16
Rb (0.9434, 0.8867, 0.1866)  4 Cs 4.94-5.45, 4 Rb 5.07-5.16
Au (0.8396, 0.6791, 0.5309)  6 Cs 3.60-3.74
Au (0.1604, 0.3209, 0.0309)  6 Cs 3.60-3.74
O (0.4672, 0.9344, 0.9452)  5 Cs 2.70-2.98
O (0.5328, 0.0656, 0.4452)  5 Cs 2.70-2.98

Calculated values
Raw formation energy: -0.39 eV per atom
Space group: No. 36
Total energy: -1.993 eV/atom